Compound: RbSbOs2W
Source: Alexandria via LeMat-Bulk
Functional: PBEsol
Structure: relaxed

The magnetic moment comes out at 3.5 μB per cell. The value obtained for the total DFT energy (no corrections) is -29.0 eV/cell. As for the volume: 25.8 Å³/atom.

Cell and atoms, written as CIF:
```
data_RbSbOs2W
_chemical_formula_sum 'Rb1 Sb1 Os2 W1'
_cell_length_a 4.8354
_cell_length_b 4.8354
_cell_length_c 5.5213
_cell_angle_alpha 90.00
_cell_angle_beta 90.00
_cell_angle_gamma 90.00
_space_group_name_H-M_alt 'P 4/m m m'
_space_group_IT_number 123
_space_group_name_Hall '-P 4 2'
loop_
_atom_site_label
_atom_site_type_symbol
_atom_site_fract_x
_atom_site_fract_y
_atom_site_fract_z
Rb1 Rb 0.0000 0.0000 0.0000
Sb1 Sb 0.0000 0.0000 0.5000
Os1 Os 0.0000 0.5000 0.5000
W1 W 0.5000 0.5000 0.0000
```